First-principles (PBE-GGA) data for an optimized crystal structure of CrIn2Te, as listed in Alexandria.

Values from the calculation:
Crystal system = tetragonal
Raw formation energy = 0.25 eV per atom

abc: 6.671 6.671 6.671
angles: 101.59 101.59 126.75
Element x y z (fractional)
Cr  0.000  0.000  0.000
Cr  0.750  0.250  0.500
In  0.109  0.625  0.984
In  0.375  0.359  0.484
In  0.641  0.125  0.016
In  0.875  0.891  0.516
Te  0.250  0.750  0.500
Te  0.500  0.500  0.000